Record 1
Entry from the Alexandria database: a geometry-optimized Ta2Cu structure (PBE).

abc: 6.470 6.470 4.183
angles: 90.00 90.00 145.83
Fractional positions:
Ta  0.078  0.922  0.750
Ta  0.243  0.757  0.250
Ta  0.757  0.243  0.750
Ta  0.922  0.078  0.250
Cu  0.419  0.581  0.750
Cu  0.581  0.419  0.250

Properties
The total moment comes out at 0.00 μB per formula unit. The crystal system is orthorhombic. The value obtained for the formation energy is 0.49 eV per formula unit.

=====

Record 2
Entry from the Alexandria database: a geometry-optimized Ta5Cu structure (PBE).

abc: 4.886 8.020 8.020
angles: 19.76 90.00 90.00
Fractional positions:
Ta  0.000  0.000  0.000
Ta  0.000  0.325  0.325
Ta  0.500  0.230  0.230
Ta  0.500  0.571  0.571
Ta  0.500  0.902  0.902
Cu  0.000  0.666  0.666

Properties
For the energy above the most stable polymorph in this dataset, the calculation gives 1.10 eV per formula unit. The total moment comes out at 0.00 μB per formula unit. The crystal system is orthorhombic. The value obtained for the formation energy is 1.52 eV per formula unit.

=====

Record 3
Entry from the Alexandria database: a geometry-optimized Ta2Cu structure (PBE).

abc: 5.998 5.998 5.998
angles: 90.00 90.00 90.00
Fractional positions:
Ta  0.137  0.137  0.137
Ta  0.137  0.363  0.637
Ta  0.363  0.637  0.137
Ta  0.363  0.863  0.637
Ta  0.637  0.137  0.363
Ta  0.637  0.363  0.863
Ta  0.863  0.637  0.363
Ta  0.863  0.863  0.863
Cu  0.000  0.000  0.500
Cu  0.000  0.500  0.000
Cu  0.500  0.000  0.000
Cu  0.500  0.500  0.500

Properties
The total moment comes out at 0.00 μB per formula unit. The crystal system is cubic. The value obtained for the formation energy is 2.42 eV per formula unit.

=====

Record 4
Entry from the Alexandria database: a geometry-optimized TaCu structure (PBE).

abc: 7.983 7.983 4.081
angles: 90.00 90.00 90.00
Fractional positions:
Ta  0.000  0.293  0.000
Ta  0.000  0.707  0.000
Ta  0.167  0.500  0.500
Ta  0.293  0.000  0.000
Ta  0.500  0.167  0.500
Ta  0.500  0.833  0.500
Ta  0.707  0.000  0.000
Ta  0.833  0.500  0.500
Cu  0.160  0.160  0.500
Cu  0.160  0.840  0.500
Cu  0.334  0.334  0.000
Cu  0.334  0.666  0.000
Cu  0.666  0.334  0.000
Cu  0.666  0.666  0.000
Cu  0.840  0.160  0.500
Cu  0.840  0.840  0.500

Properties
The total moment comes out at 0.00 μB per formula unit. The crystal system is tetragonal. The value obtained for the formation energy is 0.68 eV per formula unit.